Here is crystalline KSmVO4 at its relaxed geometry from Alexandria. Energies are from GGA+U.

- Energy: -7.15 eV per atom
- Magnetization: 1.00 μB per formula unit

```
KSmVO4
1.0
-0.844 4.989 -3.309
-5.901 -1.014 -0.023
-0.379 2.042 7.085
O V K Sm
8 2 2 2
direct
0.055 0.526 0.321
0.945 0.474 0.679
0.533 0.250 0.429
0.945 0.026 0.679
0.467 0.750 0.571
0.536 0.250 0.811
0.055 0.974 0.321
0.464 0.750 0.189
0.718 0.250 0.660
0.282 0.750 0.340
0.710 0.750 0.933
0.290 0.250 0.067
0.815 0.750 0.455
0.185 0.250 0.545
```